[1]
NdAlSi: relaxed, PBE.

a = 4.178 Å, b = 4.325 Å, c = 7.278 Å
α = 90.00°, β = 90.00°, γ = 90.00°
Positions (direct):
Al (0.812, 0.216, 0.310)
Al (0.812, 0.716, 0.483)
Si (0.812, 0.216, 0.973)
Si (0.812, 0.716, 0.820)
Nd (0.312, 0.216, 0.659)
Nd (0.312, 0.716, 0.134)

Summary:
Its crystal system is orthorhombic. The uncorrected energy comes out at -5.236 eV/atom. The space-group type is Pmma (51).

[2]
Na2MgSn: relaxed, PBE.

a = 5.204 Å, b = 4.496 Å, c = 4.496 Å
α = 90.00°, β = 90.00°, γ = 90.00°
Positions (direct):
Mg (0.500, 0.000, 0.000)
Na (0.000, 0.000, 0.500)
Na (0.000, 0.500, 0.000)
Sn (0.500, 0.500, 0.500)

Summary:
Its energy relative to the elements is -0.074 eV/atom. Its crystal system is tetragonal. The uncorrected energy comes out at -2.132 eV/atom. The space-group type is P4/mmm (123).

[3]
Ba2IrRu: relaxed, PBE.

a = 7.748 Å, b = 7.748 Å, c = 7.748 Å
α = 147.24°, β = 144.29°, γ = 49.24°
Positions (direct):
Ru (0.342, 0.842, 0.500)
Ir (0.409, 0.409, 0.000)
Ba (0.751, 0.251, 0.500)
Ba (0.998, 0.998, 0.000)

Summary:
Its energy relative to the elements is 0.158 eV/atom. Its crystal system is orthorhombic. The uncorrected energy comes out at -5.337 eV/atom. The space-group type is Imm2 (44).

[4]
BeHCl3: relaxed, PBE.

a = 4.505 Å, b = 4.505 Å, c = 4.505 Å
α = 90.00°, β = 90.00°, γ = 90.00°
Site moments in Bohr magnetons follow the coordinates.
Positions (direct):
Cl (0.000, 0.500, 0.000)  -0.06
Cl (0.500, 0.000, 0.000)  -0.03
Cl (0.000, 0.000, 0.500)  -0.02
H (0.500, 0.500, 0.500)  0.34
Be (0.000, 0.000, 0.000)  0.00

Summary:
Its crystal system is cubic. The uncorrected energy comes out at -2.481 eV/atom. The space-group type is Pm-3m (221).

[5]
ScHgGeMo2: relaxed, PBE.

a = 4.666 Å, b = 4.917 Å, c = 4.666 Å
α = 90.00°, β = 90.00°, γ = 90.00°
Positions (direct):
Hg (0.500, 0.500, 0.500)
Mo (0.500, 0.000, 0.000)
Mo (0.000, 0.000, 0.500)
Ge (0.000, 0.000, 0.000)
Sc (0.000, 0.500, 0.000)

Summary:
Its energy relative to the elements is 0.770 eV/atom. Its crystal system is tetragonal. The uncorrected energy comes out at -5.812 eV/atom. The space-group type is P4/mmm (123).

[6]
YTcHg2: relaxed, PBE.

a = 9.269 Å, b = 9.269 Å, c = 9.269 Å
α = 21.23°, β = 21.23°, γ = 21.23°
Site moments in Bohr magnetons follow the coordinates.
Positions (direct):
Y (0.758, 0.758, 0.758)  0.00
Hg (0.243, 0.243, 0.243)  0.01
Hg (0.999, 0.999, 0.999)  0.01
Tc (0.500, 0.500, 0.500)  0.37

Summary:
Its energy relative to the elements is 0.276 eV/atom. Its relative energy among the computed polymorphs is 214 meV per atom. Its crystal system is trigonal. The uncorrected energy comes out at -4.082 eV/atom. The space-group type is R3m (160).

[7]
Er2MgAl4Au3: relaxed, PBE.

a = 4.174 Å, b = 4.174 Å, c = 11.434 Å
α = 90.00°, β = 90.00°, γ = 90.00°
Positions (direct):
Al (0.000, 0.500, 0.350)
Al (0.000, 0.000, 0.000)
Al (0.500, 0.000, 0.650)
Al (0.500, 0.500, 0.000)
Au (0.000, 0.000, 0.500)
Au (0.000, 0.500, 0.134)
Au (0.500, 0.000, 0.866)
Er (0.000, 0.500, 0.758)
Er (0.500, 0.000, 0.242)
Mg (0.500, 0.500, 0.500)

Summary:
Its energy relative to the elements is -0.597 eV/atom. Its crystal system is tetragonal. The uncorrected energy comes out at -4.149 eV/atom. The space-group type is P-4m2 (115).

[8]
PrNi2B2C: relaxed, PBE.

a = 5.640 Å, b = 5.640 Å, c = 5.640 Å
α = 141.45°, β = 141.45°, γ = 55.66°
Positions (direct):
Pr (0.000, 0.000, 0.000)
B (0.650, 0.650, 0.000)
B (0.350, 0.350, 0.000)
C (0.500, 0.500, 0.000)
Ni (0.750, 0.250, 0.500)
Ni (0.250, 0.750, 0.500)

Summary:
Its energy relative to the elements is -0.433 eV/atom. Its crystal system is tetragonal. The uncorrected energy comes out at -6.920 eV/atom. The space-group type is I4/mmm (139).

[9]
B2C: relaxed, PBE.

a = 2.615 Å, b = 4.683 Å, c = 7.178 Å
α = 93.54°, β = 90.00°, γ = 90.00°
Positions (direct):
B (0.000, 0.308, 0.359)
B (0.000, 0.964, 0.225)
B (0.000, 0.646, 0.002)
B (0.500, 0.505, 0.230)
B (0.500, 0.196, 0.880)
B (0.500, 0.834, 0.370)
B (0.000, 0.679, 0.612)
B (0.000, 0.002, 0.989)
C (0.000, 0.336, 0.583)
C (0.500, 0.860, 0.587)
C (0.500, 0.486, 0.008)
C (0.500, 0.185, 0.655)

Summary:
Its energy relative to the elements is 0.437 eV/atom. Its relative energy among the computed polymorphs is 252 meV per atom. Its crystal system is monoclinic. The uncorrected energy comes out at -7.089 eV/atom. The space-group type is Pm (6).

[10]
LiTlNiAg: relaxed, PBE.

a = 4.506 Å, b = 4.506 Å, c = 4.506 Å
α = 60.00°, β = 60.00°, γ = 60.00°
Positions (direct):
Ni (0.250, 0.250, 0.250)
Ag (0.000, 0.000, 0.000)
Tl (0.500, 0.500, 0.500)
Li (0.750, 0.750, 0.750)

Summary:
Its energy relative to the elements is -0.030 eV/atom. Its crystal system is cubic. The uncorrected energy comes out at -3.258 eV/atom. The space-group type is F-43m (216).

[11]
SnBiBrO2: relaxed, PBE.

a = 3.976 Å, b = 7.356 Å, c = 8.065 Å
α = 105.74°, β = 90.00°, γ = 90.00°
Positions (direct):
Bi (0.250, 0.666, 0.406)
Bi (0.750, 0.334, 0.594)
O (0.750, 0.499, 0.377)
O (0.250, 0.501, 0.623)
O (0.750, 0.498, 0.875)
O (0.250, 0.502, 0.125)
Sn (0.750, 0.329, 0.074)
Sn (0.250, 0.671, 0.926)
Br (0.750, 0.931, 0.273)
Br (0.250, 0.069, 0.727)

Summary:
Its crystal system is monoclinic. The uncorrected energy comes out at -5.061 eV/atom. The space-group type is P2_1/m (11).

[12]
Dy5Al: relaxed, PBE.

a = 4.812 Å, b = 4.797 Å, c = 7.805 Å
α = 107.90°, β = 90.00°, γ = 90.00°
Positions (direct):
Dy (0.500, 0.165, 0.330)
Dy (0.000, 0.659, 0.319)
Dy (0.500, 0.835, 0.670)
Dy (0.000, 0.341, 0.681)
Dy (0.500, 0.500, 0.000)
Al (0.000, 0.000, 0.000)

Summary:
Its energy relative to the elements is -0.094 eV/atom. Its relative energy among the computed polymorphs is 10 meV per atom. Its crystal system is orthorhombic. The uncorrected energy comes out at -4.552 eV/atom. The space-group type is Cmmm (65).